VASP calculation (meta-GGA SCAN) on LiCd2Cl at its PBEsol-relaxed geometry.

Output
Formation energy without anion corrections: -0.62 eV/atom

Lattice parameters (Å, degrees): 3.7666 3.9890 6.2715 90.00 90.00 90.00
Positions (direct):
1 Li 0.0000 0.0000 0.0000
2 Cd 0.0000 0.5000 0.5000
3 Cd 0.5000 0.0000 0.5000
4 Cl 0.5000 0.5000 0.0000

---

VASP calculation (meta-GGA SCAN) on MnPI2N at its PBEsol-relaxed geometry.

Output
Formation energy without anion corrections: 0.67 eV/atom

Lattice parameters (Å, degrees): 5.2404 5.2404 3.4943 90.00 90.00 90.00
Positions (direct):
1 Mn 0.0000 0.0000 0.0000
2 P 0.5000 0.5000 0.5000
3 I 0.0000 0.5000 0.0000
4 I 0.5000 0.0000 0.0000
5 N 0.0000 0.0000 0.5000

---

VASP calculation (meta-GGA SCAN) on BaSnO3 at its PBEsol-relaxed geometry.

Output
Formation energy without anion corrections: -2.41 eV/atom

Lattice parameters (Å, degrees): 4.1341 4.1341 4.1341 90.00 90.00 90.00
Positions (direct):
1 Ba 0.0000 0.0000 0.0000
2 Sn 0.5000 0.5000 0.5000
3 O 0.0000 0.5000 0.5000
4 O 0.5000 0.0000 0.5000
5 O 0.5000 0.5000 0.0000

---

VASP calculation (meta-GGA SCAN) on GdLuIr2 at its PBEsol-relaxed geometry.

Output
Energy of formation from the pure elements: -973 meV per atom

Lattice parameters (Å, degrees): 4.7479 4.7479 4.7479 60.00 60.00 60.00
Positions (direct):
1 Gd 0.0000 0.0000 0.0000
2 Lu 0.5000 0.5000 0.5000
3 Ir 0.2500 0.2500 0.2500
4 Ir 0.7500 0.7500 0.7500

---

VASP calculation (meta-GGA SCAN) on RbZr2Sb2 at its PBEsol-relaxed geometry.

Output
Formation energy without anion corrections: -0.50 eV/atom

Lattice parameters (Å, degrees): 7.9683 7.9683 7.9683 145.85 145.85 49.07
Positions (direct):
1 Rb 0.0000 0.0000 0.0000
2 Zr 0.2500 0.7500 0.5000
3 Zr 0.7500 0.2500 0.5000
4 Sb 0.3650 0.3650 0.0000
5 Sb 0.6350 0.6350 0.0000

---

VASP calculation (meta-GGA SCAN) on SrMg3 at its PBEsol-relaxed geometry.

Output
Energy of formation from the pure elements: -10 meV per atom

Lattice parameters (Å, degrees): 7.1006 7.1006 5.3370 90.00 90.00 120.00
Positions (direct):
1 Sr 0.3333 0.6667 0.2500
2 Sr 0.6667 0.3333 0.7500
3 Mg 0.1514 0.3027 0.7500
4 Mg 0.1514 0.8486 0.7500
5 Mg 0.3027 0.1514 0.2500
6 Mg 0.6973 0.8486 0.7500
7 Mg 0.8486 0.1514 0.2500
8 Mg 0.8486 0.6973 0.2500

---

| no. | V (Å³/atom) | calculated density (g cm⁻³) |
| --- | --- | --- |
| 1 | 23.557 | 4.71 |
| 2 | 19.192 | 6.12 |
| 3 | 14.131 | 7.15 |
| 4 | 18.920 | 15.72 |
| 5 | 31.741 | 5.35 |
| 6 | 29.129 | 2.29 |